*a*
Density functional theory data (PBE) for an optimized crystal structure of MgNb3Mo. Values from VASP.

Results
Mass density in g/cm³: 6.46
Total magnetization in μB per cell: 0.00
Calculated volume in Å³ per cell: 102.5

The structure in Quantum ESPRESSO input format:
```
&SYSTEM
  ibrav = 0, nat = 5, ntyp = 3
/
ATOMIC_SPECIES
Mg 24.30 Mg.upf
Mo 95.94 Mo.upf
Nb 92.91 Nb.upf
CELL_PARAMETERS angstrom
4.6807 0.0000 0.0000
0.0000 4.6807 0.0000
0.0000 0.0000 4.6807
ATOMIC_POSITIONS crystal
Mg 0.0000 0.0000 0.0000
Mo 0.5000 0.5000 0.5000
Nb 0.0000 0.5000 0.0000
Nb 0.0000 0.0000 0.5000
Nb 0.5000 0.0000 0.0000
```

***

*b*
Density functional theory data (PBE) for an optimized crystal structure of MgNb3Mo. Values from VASP.

Results
Mass density in g/cm³: 5.74
Total magnetization in μB per cell: 0.00
Calculated volume in Å³ per cell: 115.4

The structure in Quantum ESPRESSO input format:
```
&SYSTEM
  ibrav = 0, nat = 5, ntyp = 3
/
ATOMIC_SPECIES
Mg 24.30 Mg.upf
Mo 95.94 Mo.upf
Nb 92.91 Nb.upf
CELL_PARAMETERS angstrom
4.8691 0.0000 0.0000
0.0000 4.8691 0.0000
0.0000 0.0000 4.8691
ATOMIC_POSITIONS crystal
Mg 0.5000 0.5000 0.5000
Mo 0.0000 0.0000 0.0000
Nb 0.0000 0.5000 0.0000
Nb 0.0000 0.0000 0.5000
Nb 0.5000 0.0000 0.0000
```

***

What are the relative energies? In eV/atom: *a* 0.884; *b* 0.000.